1.
{"formula": "K3Pm3TaO8", "functional": "GGA-PBE", "state": "optimized geometry", "volume_a3_per_atom": 17.95, "rho_g_cm3": 5.31, "lattice_angstrom": [[6.029, -3.485, 0.000], [6.029, 3.485, 0.000], [-4.016, 0.000, 6.407]], "species": ["K", "K", "K", "Pm", "Pm", "Pm", "Ta", "O", "O", "O", "O", "O", "O", "O", "O"], "frac_coords": [[0.000, 0.000, 0.000], [0.000, 0.500, 0.000], [0.500, 0.000, 0.000], [0.000, 0.500, 0.500], [0.500, 0.000, 0.500], [0.500, 0.500, 0.500], [0.000, 0.000, 0.500], [0.200, 0.200, 0.672], [0.200, 0.772, 0.672], [0.228, 0.800, 0.328], [0.266, 0.266, 0.298], [0.734, 0.734, 0.702], [0.772, 0.200, 0.672], [0.800, 0.228, 0.328], [0.800, 0.800, 0.328]]}

=====

2.
{"formula": "K2TbPmO4", "functional": "GGA-PBE", "state": "optimized geometry", "volume_a3_per_atom": 17.24, "rho_g_cm3": 5.37, "lattice_angstrom": [[6.164, 0.000, 0.000], [0.000, 3.559, 0.000], [-2.052, 0.000, 6.285]], "species": ["K", "K", "Tb", "Pm", "O", "O", "O", "O"], "frac_coords": [[0.000, 0.000, 0.000], [0.500, 0.500, 0.000], [0.000, 0.500, 0.500], [0.500, 0.000, 0.500], [0.224, 0.000, 0.687], [0.265, 0.500, 0.311], [0.735, 0.500, 0.689], [0.776, 0.000, 0.313]]}

=====

Quick rundown of spin magnetization, same order as above: 0.0, 0.0 μB/f.u.
Quick rundown of formation energy from raw total energies, same order as above: -39.7, -21.6 eV/f.u.